(1)
Material: AgTePt
Method: DFT, PBE
State: optimized geometry

Computed properties:
SG: P-1
Formation energy (no corrections), eV per formula unit: -0.1
Total DFT energy (no corrections), eV/atom: -4.06
DOS at the Fermi energy, states/eV/cell: 3.29
Mass density, g/cm3: 11.10

Cell lengths 5.515, 4.301, 5.802 Å; angles 89.72, 69.31, 89.79 degrees
Fractional positions:
1 Te 0.905 0.253 0.795
2 Te 0.095 0.747 0.205
3 Pt 0.678 0.754 0.062
4 Pt 0.322 0.246 0.938
5 Ag 0.579 0.749 0.610
6 Ag 0.421 0.251 0.390

---

(2)
Material: CoBTe3
Method: DFT, PBE
State: optimized geometry

Computed properties:
SG: Pm-3m
Formation energy (no corrections), eV per formula unit: 6.0
Total DFT energy (no corrections), eV/atom: -3.44
DOS at the Fermi energy, states/eV/cell: 6.22
Mass density, g/cm3: 5.92

Cell lengths 5.026, 5.026, 5.026 Å; angles 90.00, 90.00, 90.00 degrees
Site moments in Bohr magnetons follow the coordinates.
Fractional positions:
1 B 0.500 0.500 0.500  -0.02
2 Te 0.000 0.000 0.500  0.03
3 Te 0.000 0.500 0.000  0.06
4 Te 0.500 0.000 0.000  0.09
5 Co 0.000 0.000 0.000  0.48